Record 1
This record from the Alexandria database describes a relaxed structure of ErVF5. The functional is PBE+U.

SG	C2/c (15)
mass density	4.81	g/cm3

Geometry as POSCAR:
```
ErVF5
1.0
5.367 -0.051 1.922
1.146 5.243 1.922
-0.059 -0.047 7.631
Er V F
2 2 10
Direct
0.548 0.452 0.250
0.452 0.548 0.750
0.000 0.000 0.000
0.000 0.000 0.500
0.675 0.309 0.963
0.726 0.778 0.629
0.309 0.675 0.463
0.222 0.274 0.871
0.778 0.726 0.129
0.124 0.876 0.750
0.876 0.124 0.250
0.691 0.325 0.537
0.274 0.222 0.371
0.325 0.691 0.037
```

***

Record 2
This record from the Alexandria database describes a relaxed structure of ErV2F8. The functional is PBE+U.

SG	C2/m (12)
mass density	4.50	g/cm3

Geometry as POSCAR:
```
ErV2F8
1.0
4.300 0.036 0.051
-0.009 6.300 -3.581
0.129 -0.683 6.129
F V Er
8 2 1
Direct
0.743 0.818 0.637
0.248 0.674 0.798
0.752 0.876 0.202
0.257 0.182 0.363
0.752 0.326 0.202
0.248 0.124 0.798
0.755 0.410 0.820
0.245 0.590 0.180
0.259 0.380 0.759
0.741 0.620 0.241
0.000 0.000 0.000
```

***

Record 3
This record from the Alexandria database describes a relaxed structure of ErV2F8. The functional is PBE+U.

SG	C2/m (12)
mass density	4.65	g/cm3

Geometry as POSCAR:
```
ErV2F8
1.0
-2.445 0.689 4.639
-4.333 -0.419 -3.406
-0.848 -5.398 -0.831
V F Er
2 8 1
Direct
0.466 0.685 0.685
0.534 0.315 0.315
0.289 0.955 0.349
0.267 0.444 0.444
0.711 0.651 0.045
0.763 0.161 0.161
0.733 0.556 0.556
0.711 0.045 0.651
0.289 0.349 0.955
0.237 0.839 0.839
0.000 0.000 0.000
```

***

Record 4
This record from the Alexandria database describes a relaxed structure of ErWF6. The functional is PBE+U.

SG	R-3 (148)
mass density	5.12	g/cm3

Geometry as POSCAR:
```
ErWF6
1.0
5.236 0.006 2.729
1.897 4.876 2.744
0.184 0.107 6.044
F W Er
6 1 1
Direct
0.300 0.753 0.753
0.700 0.247 0.247
0.805 0.701 0.248
0.247 0.805 0.248
0.195 0.299 0.752
0.753 0.195 0.752
0.000 0.000 0.000
0.500 0.500 0.500
```

***

no.,VASP energy (eV/atom)
1,-6.5505
2,-6.3239
3,-6.2831
4,-6.2569